An optimized crystal structure of CrCuGe2, computed with PBE.

Properties
E_form (meV/atom): 206
Total DFT energy (no corrections) (eV/atom): -5.533
DOS at the Fermi energy (states/eV/f.u.): 2.2

Unit cell a=2.8777 b=2.8777 c=25.8602 alpha=90.00 beta=90.00 gamma=120.00
Space group R-3m (No. 166, hexagonal axes)
Inequivalent atoms, fractional coordinates:
Cr 0.0000 0.0000 0.0000
Cu 0.0000 0.0000 0.5000
Ge 0.0000 0.0000 0.4084

---

An optimized crystal structure of Cr3CuGe, computed with PBE.

Properties
E_form (meV/atom): 1185
Energy above the lowest structure with this stoichiometry (eV/atom): 0.0000
Total DFT energy (no corrections) (eV/atom): -6.332
DOS at the Fermi energy (states/eV/f.u.): 6.0

Unit cell a=4.724 b=4.724 c=4.724 alpha=90.00 beta=90.00 gamma=90.00
Space group Pm-3m (No. 221)
Inequivalent atoms, fractional coordinates:
Cr 0.000 0.000 0.500
Cu 0.500 0.500 0.500
Ge 0.000 0.000 0.000

---

An optimized crystal structure of CrCu3Ge, computed with PBE.

Properties
E_form (meV/atom): 1221
Energy above the lowest structure with this stoichiometry (eV/atom): 0.0699
Total DFT energy (no corrections) (eV/atom): -4.084
DOS at the Fermi energy (states/eV/f.u.): 2.5

Unit cell a=4.570 b=4.570 c=4.570 alpha=90.00 beta=90.00 gamma=90.00
Space group Pm-3m (No. 221)
Inequivalent atoms, fractional coordinates:
Cr 0.000 0.000 0.000
Cu 0.000 0.000 0.500
Ge 0.500 0.500 0.500

---

An optimized crystal structure of CrCuGe2, computed with PBE.

Properties
E_form (meV/atom): 580
Total DFT energy (no corrections) (eV/atom): -5.158
DOS at the Fermi energy (states/eV/f.u.): 7.9

Unit cell a=6.681 b=6.681 c=5.501 alpha=90.00 beta=90.00 gamma=90.00
Space group I-42d (No. 122)
Inequivalent atoms, fractional coordinates:
Cr 0.000 0.000 0.000
Cu 0.000 0.000 0.500
Ge 0.243 0.750 0.625